a.
Zr2SnTe: optimized geometry, PBE.

Structure (CIF):
```
data_Zr2SnTe
_symmetry_space_group_name_H-M 'P 1'
_symmetry_Int_Tables_number 1
_symmetry_space_group_name_Hall 'P 1'
_cell_length_a 5.059
_cell_length_b 5.059
_cell_length_c 5.059
_cell_angle_alpha 60.00
_cell_angle_beta 60.00
_cell_angle_gamma 60.00
loop_
_atom_site_label
_atom_site_type_symbol
_atom_site_fract_x
_atom_site_fract_y
_atom_site_fract_z
Zr1 Zr 0.250 0.250 0.250
Zr2 Zr 0.750 0.750 0.750
Sn1 Sn 0.000 0.000 0.000
Te1 Te 0.500 0.500 0.500
```

Calculated values
Space group: Fm-3m (225)
V in Å³/cell: 91.55
M_tot in μB/f.u.: 0.00



b.
Zr2SnTe: optimized geometry, PBE.

Structure (CIF):
```
data_Zr2SnTe
_symmetry_space_group_name_H-M 'P 1'
_symmetry_Int_Tables_number 1
_symmetry_space_group_name_Hall 'P 1'
_cell_length_a 8.022
_cell_length_b 8.022
_cell_length_c 8.022
_cell_angle_alpha 132.03
_cell_angle_beta 132.03
_cell_angle_gamma 70.18
loop_
_atom_site_label
_atom_site_type_symbol
_atom_site_fract_x
_atom_site_fract_y
_atom_site_fract_z
Zr1 Zr 0.119 0.625 0.994
Zr2 Zr 0.375 0.369 0.494
Zr3 Zr 0.631 0.125 0.006
Zr4 Zr 0.875 0.881 0.506
Sn1 Sn 0.000 0.000 0.000
Sn2 Sn 0.750 0.250 0.500
Te1 Te 0.250 0.750 0.500
Te2 Te 0.500 0.500 0.000
```

Calculated values
Space group: I-42d (122)
V in Å³/cell: 279.17
M_tot in μB/f.u.: 0.00



c.
Zr2SnTe: optimized geometry, PBE.

Structure (CIF):
```
data_Zr2SnTe
_symmetry_space_group_name_H-M 'P 1'
_symmetry_Int_Tables_number 1
_symmetry_space_group_name_Hall 'P 1'
_cell_length_a 7.226
_cell_length_b 7.226
_cell_length_c 7.226
_cell_angle_alpha 33.40
_cell_angle_beta 33.40
_cell_angle_gamma 33.40
loop_
_atom_site_label
_atom_site_type_symbol
_atom_site_fract_x
_atom_site_fract_y
_atom_site_fract_z
Zr1 Zr 0.243 0.243 0.243
Zr2 Zr 0.757 0.757 0.757
Sn1 Sn 0.500 0.500 0.500
Te1 Te 0.000 0.000 0.000
```

Calculated values
Space group: R-3m (166)
V in Å³/cell: 101.81
M_tot in μB/f.u.: 0.00



c is preferred energetically. Next in line: 0.019 eV/atom higher.



a.
Th5Sn3: optimized geometry, PBE.

Structure (CIF):
```
data_Th5Sn3
_symmetry_space_group_name_H-M 'P 1'
_symmetry_Int_Tables_number 1
_symmetry_space_group_name_Hall 'P 1'
_cell_length_a 9.267
_cell_length_b 9.267
_cell_length_c 9.267
_cell_angle_alpha 127.08
_cell_angle_beta 127.08
_cell_angle_gamma 78.11
loop_
_atom_site_label
_atom_site_type_symbol
_atom_site_fract_x
_atom_site_fract_y
_atom_site_fract_z
Th1 Th 0.000 0.000 0.000
Th2 Th 0.004 0.504 0.816
Th3 Th 0.188 0.004 0.500
Th4 Th 0.312 0.812 0.816
Th5 Th 0.496 0.312 0.500
Th6 Th 0.500 0.500 0.000
Th7 Th 0.504 0.688 0.500
Th8 Th 0.688 0.188 0.184
Th9 Th 0.812 0.996 0.500
Th10 Th 0.996 0.496 0.184
Sn1 Sn 0.136 0.364 0.500
Sn2 Sn 0.250 0.250 0.000
Sn3 Sn 0.364 0.864 0.227
Sn4 Sn 0.636 0.136 0.773
Sn5 Sn 0.750 0.750 0.000
Sn6 Sn 0.864 0.636 0.500
```

Calculated values
Space group: I4/mcm (140)
V in Å³/cell: 490.64
M_tot in μB/f.u.: 0.00



b.
Th5Sn3: optimized geometry, PBE.

Structure (CIF):
```
data_Th5Sn3
_symmetry_space_group_name_H-M 'P 1'
_symmetry_Int_Tables_number 1
_symmetry_space_group_name_Hall 'P 1'
_cell_length_a 9.441
_cell_length_b 9.441
_cell_length_c 6.456
_cell_angle_alpha 90.00
_cell_angle_beta 90.00
_cell_angle_gamma 120.00
loop_
_atom_site_label
_atom_site_type_symbol
_atom_site_fract_x
_atom_site_fract_y
_atom_site_fract_z
Th1 Th 0.000 0.253 0.250
Th2 Th 0.000 0.747 0.750
Th3 Th 0.253 0.000 0.250
Th4 Th 0.253 0.253 0.750
Th5 Th 0.333 0.667 0.000
Th6 Th 0.333 0.667 0.500
Th7 Th 0.667 0.333 0.000
Th8 Th 0.667 0.333 0.500
Th9 Th 0.747 0.000 0.750
Th10 Th 0.747 0.747 0.250
Sn1 Sn 0.000 0.388 0.750
Sn2 Sn 0.000 0.612 0.250
Sn3 Sn 0.388 0.000 0.750
Sn4 Sn 0.388 0.388 0.250
Sn5 Sn 0.612 0.000 0.250
Sn6 Sn 0.612 0.612 0.750
```

Calculated values
Space group: P6_3/mcm (193)
V in Å³/cell: 498.27
M_tot in μB/f.u.: 0.00



b is preferred energetically. Next in line: 0.048 eV/atom higher.



a.
ThTl2Sn: optimized geometry, PBE.

Structure (CIF):
```
data_ThTl2Sn
_symmetry_space_group_name_H-M 'P 1'
_symmetry_Int_Tables_number 1
_symmetry_space_group_name_Hall 'P 1'
_cell_length_a 4.745
_cell_length_b 4.745
_cell_length_c 4.950
_cell_angle_alpha 90.00
_cell_angle_beta 90.00
_cell_angle_gamma 90.00
loop_
_atom_site_label
_atom_site_type_symbol
_atom_site_fract_x
_atom_site_fract_y
_atom_site_fract_z
Th1 Th 0.000 0.000 0.000
Tl1 Tl 0.000 0.500 0.500
Tl2 Tl 0.500 0.000 0.500
Sn1 Sn 0.500 0.500 0.000
```

Calculated values
Space group: P4/mmm (123)
V in Å³/cell: 111.44
M_tot in μB/f.u.: 0.00



b.
ThTl2Sn: optimized geometry, PBE.

Structure (CIF):
```
data_ThTl2Sn
_symmetry_space_group_name_H-M 'P 1'
_symmetry_Int_Tables_number 1
_symmetry_space_group_name_Hall 'P 1'
_cell_length_a 11.998
_cell_length_b 11.998
_cell_length_c 11.998
_cell_angle_alpha 16.72
_cell_angle_beta 16.72
_cell_angle_gamma 16.72
loop_
_atom_site_label
_atom_site_type_symbol
_atom_site_fract_x
_atom_site_fract_y
_atom_site_fract_z
Th1 Th 0.000 0.000 0.000
Tl1 Tl 0.092 0.092 0.092
Tl2 Tl 0.908 0.908 0.908
Sn1 Sn 0.500 0.500 0.500
```

Calculated values
Space group: R-3m (166)
V in Å³/cell: 124.67
M_tot in μB/f.u.: 0.00



a is preferred energetically. Next in line: 0.441 eV/atom higher.



a.
Th4TlSn: optimized geometry, PBE.

Structure (CIF):
```
data_Th4TlSn
_symmetry_space_group_name_H-M 'P 1'
_symmetry_Int_Tables_number 1
_symmetry_space_group_name_Hall 'P 1'
_cell_length_a 7.722
_cell_length_b 7.722
_cell_length_c 6.269
_cell_angle_alpha 90.00
_cell_angle_beta 90.00
_cell_angle_gamma 90.00
loop_
_atom_site_label
_atom_site_type_symbol
_atom_site_fract_x
_atom_site_fract_y
_atom_site_fract_z
Th1 Th 0.152 0.345 0.000
Th2 Th 0.152 0.655 0.500
Th3 Th 0.345 0.152 0.500
Th4 Th 0.345 0.848 0.000
Th5 Th 0.655 0.152 0.000
Th6 Th 0.655 0.848 0.500
Th7 Th 0.848 0.345 0.500
Th8 Th 0.848 0.655 0.000
Tl1 Tl 0.500 0.500 0.250
Tl2 Tl 0.500 0.500 0.750
Sn1 Sn 0.000 0.000 0.250
Sn2 Sn 0.000 0.000 0.750
```

Calculated values
Space group: P4/mcc (124)
V in Å³/cell: 373.83
M_tot in μB/f.u.: 0.00



b.
Th4TlSn: optimized geometry, PBE.

Structure (CIF):
```
data_Th4TlSn
_symmetry_space_group_name_H-M 'P 1'
_symmetry_Int_Tables_number 1
_symmetry_space_group_name_Hall 'P 1'
_cell_length_a 4.195
_cell_length_b 4.197
_cell_length_c 10.409
_cell_angle_alpha 90.00
_cell_angle_beta 90.08
_cell_angle_gamma 90.00
loop_
_atom_site_label
_atom_site_type_symbol
_atom_site_fract_x
_atom_site_fract_y
_atom_site_fract_z
Th1 Th 0.000 0.000 0.151
Th2 Th 0.000 0.000 0.849
Th3 Th 0.500 0.500 0.346
Th4 Th 0.500 0.500 0.654
Tl1 Tl 0.000 0.000 0.500
Sn1 Sn 0.500 0.500 0.000
```

Calculated values
Space group: P2/m (10)
V in Å³/cell: 183.27
M_tot in μB/f.u.: 0.00



a is preferred energetically. Next in line: 0.088 eV/atom higher.



a.
TmThSn: optimized geometry, PBE.

Structure (CIF):
```
data_TmThSn
_symmetry_space_group_name_H-M 'P 1'
_symmetry_Int_Tables_number 1
_symmetry_space_group_name_Hall 'P 1'
_cell_length_a 6.977
_cell_length_b 6.977
_cell_length_c 6.977
_cell_angle_alpha 149.23
_cell_angle_beta 149.23
_cell_angle_gamma 44.07
loop_
_atom_site_label
_atom_site_type_symbol
_atom_site_fract_x
_atom_site_fract_y
_atom_site_fract_z
Tm1 Tm 0.000 0.000 0.000
Th1 Th 0.690 0.690 0.000
Sn1 Sn 0.355 0.355 0.000
```

Calculated values
Space group: I4mm (107)
V in Å³/cell: 88.61
M_tot in μB/f.u.: 0.00



b.
TmThSn: optimized geometry, PBE.

Structure (CIF):
```
data_TmThSn
_symmetry_space_group_name_H-M 'P 1'
_symmetry_Int_Tables_number 1
_symmetry_space_group_name_Hall 'P 1'
_cell_length_a 8.122
_cell_length_b 4.464
_cell_length_c 9.802
_cell_angle_alpha 90.00
_cell_angle_beta 90.00
_cell_angle_gamma 90.00
loop_
_atom_site_label
_atom_site_type_symbol
_atom_site_fract_x
_atom_site_fract_y
_atom_site_fract_z
Tm1 Tm 0.137 0.250 0.062
Tm2 Tm 0.363 0.750 0.562
Tm3 Tm 0.637 0.250 0.438
Tm4 Tm 0.863 0.750 0.938
Th1 Th 0.039 0.250 0.663
Th2 Th 0.461 0.750 0.163
Th3 Th 0.539 0.250 0.837
Th4 Th 0.961 0.750 0.337
Sn1 Sn 0.243 0.750 0.860
Sn2 Sn 0.257 0.250 0.360
Sn3 Sn 0.743 0.750 0.640
Sn4 Sn 0.757 0.250 0.140
```

Calculated values
Space group: Pnma (62)
V in Å³/cell: 355.41
M_tot in μB/f.u.: 0.00



b is preferred energetically. Next in line: 0.189 eV/atom higher.



a.
YThSn2: optimized geometry, PBE.

Structure (CIF):
```
data_YThSn2
_symmetry_space_group_name_H-M 'P 1'
_symmetry_Int_Tables_number 1
_symmetry_space_group_name_Hall 'P 1'
_cell_length_a 4.982
_cell_length_b 4.982
_cell_length_c 4.471
_cell_angle_alpha 90.00
_cell_angle_beta 90.00
_cell_angle_gamma 90.00
loop_
_atom_site_label
_atom_site_type_symbol
_atom_site_fract_x
_atom_site_fract_y
_atom_site_fract_z
Y1 Y 0.000 0.000 0.000
Th1 Th 0.500 0.500 0.000
Sn1 Sn 0.000 0.500 0.500
Sn2 Sn 0.500 0.000 0.500
```

Calculated values
Space group: P4/mmm (123)
V in Å³/cell: 110.95
M_tot in μB/f.u.: 0.00



b.
YThSn2: optimized geometry, PBE.

Structure (CIF):
```
data_YThSn2
_symmetry_space_group_name_H-M 'P 1'
_symmetry_Int_Tables_number 1
_symmetry_space_group_name_Hall 'P 1'
_cell_length_a 3.526
_cell_length_b 3.526
_cell_length_c 8.902
_cell_angle_alpha 90.00
_cell_angle_beta 90.00
_cell_angle_gamma 90.00
loop_
_atom_site_label
_atom_site_type_symbol
_atom_site_fract_x
_atom_site_fract_y
_atom_site_fract_z
Y1 Y 0.000 0.000 0.000
Th1 Th 0.000 0.000 0.500
Sn1 Sn 0.500 0.500 0.242
Sn2 Sn 0.500 0.500 0.758
```

Calculated values
Space group: P4/mmm (123)
V in Å³/cell: 110.65
M_tot in μB/f.u.: 0.35



b is preferred energetically. Next in line: 0.008 eV/atom higher.